Record 1
# TaAg2Te, relaxed, DFT PBE
data_TaAg2Te
_symmetry_space_group_name_H-M 'P 1'
_symmetry_Int_Tables_number 1
_symmetry_space_group_name_Hall 'P 1'
_cell_length_a 2.9784
_cell_length_b 2.9784
_cell_length_c 9.5778
_cell_angle_alpha 90.00
_cell_angle_beta 90.00
_cell_angle_gamma 90.00
loop_
_atom_site_label
_atom_site_type_symbol
_atom_site_fract_x
_atom_site_fract_y
_atom_site_fract_z
_atom_site_occupancy
Ta1 Ta 0.0000 0.0000 0.0000 1
Ag1 Ag 0.5000 0.5000 0.2167 1
Ag2 Ag 0.5000 0.5000 0.7833 1
Te1 Te 0.0000 0.0000 0.5000 1
# Symmetry ... No. 123

Record 2
# TaAg2Te, relaxed, DFT PBE
data_TaAg2Te
_symmetry_space_group_name_H-M 'P 1'
_symmetry_Int_Tables_number 1
_symmetry_space_group_name_Hall 'P 1'
_cell_length_a 5.7051
_cell_length_b 5.7051
_cell_length_c 2.9640
_cell_angle_alpha 95.77
_cell_angle_beta 95.77
_cell_angle_gamma 121.70
loop_
_atom_site_label
_atom_site_type_symbol
_atom_site_fract_x
_atom_site_fract_y
_atom_site_fract_z
_atom_site_occupancy
Ta1 Ta 0.0000 0.0000 0.0000 1
Ag1 Ag 0.0000 0.5000 0.5000 1
Ag2 Ag 0.5000 0.0000 0.5000 1
Te1 Te 0.5000 0.5000 0.0000 1
# Symmetry ... No. 12

Record 3
# TaAgTe3, relaxed, DFT PBE
data_TaAgTe3
_symmetry_space_group_name_H-M 'P 1'
_symmetry_Int_Tables_number 1
_symmetry_space_group_name_Hall 'P 1'
_cell_length_a 9.8908
_cell_length_b 9.8908
_cell_length_c 5.9849
_cell_angle_alpha 96.22
_cell_angle_beta 96.22
_cell_angle_gamma 78.64
loop_
_atom_site_label
_atom_site_type_symbol
_atom_site_fract_x
_atom_site_fract_y
_atom_site_fract_z
_atom_site_occupancy
Ta1 Ta 0.0611 0.9389 0.7500 1
Ta2 Ta 0.2027 0.7973 0.2500 1
Ta3 Ta 0.7973 0.2027 0.7500 1
Ta4 Ta 0.9389 0.0611 0.2500 1
Ag1 Ag 0.3534 0.5172 0.9405 1
Ag2 Ag 0.4828 0.6466 0.5595 1
Ag3 Ag 0.5172 0.3534 0.4405 1
Ag4 Ag 0.6466 0.4828 0.0595 1
Te1 Te 0.0594 0.2045 0.6301 1
Te2 Te 0.0853 0.6614 0.8652 1
Te3 Te 0.2045 0.0594 0.1301 1
Te4 Te 0.2478 0.5155 0.4244 1
Te5 Te 0.3386 0.9147 0.6348 1
Te6 Te 0.4845 0.7522 0.0756 1
Te7 Te 0.5155 0.2478 0.9244 1
Te8 Te 0.6614 0.0853 0.3652 1
Te9 Te 0.7522 0.4845 0.5756 1
Te10 Te 0.7955 0.9406 0.8699 1
Te11 Te 0.9147 0.3386 0.1348 1
Te12 Te 0.9406 0.7955 0.3699 1
# Excess energy over the best structure of this formula in the dataset ... 0.000 eV/f.u.
# Symmetry ... No. 15

Record 4
# TaAg2Te, relaxed, DFT PBE
data_TaAg2Te
_symmetry_space_group_name_H-M 'P 1'
_symmetry_Int_Tables_number 1
_symmetry_space_group_name_Hall 'P 1'
_cell_length_a 2.9685
_cell_length_b 4.6271
_cell_length_c 5.8958
_cell_angle_alpha 90.00
_cell_angle_beta 90.00
_cell_angle_gamma 90.00
loop_
_atom_site_label
_atom_site_type_symbol
_atom_site_fract_x
_atom_site_fract_y
_atom_site_fract_z
_atom_site_occupancy
Ta1 Ta 0.0000 0.0000 0.0000 1
Ag1 Ag 0.5000 0.5000 0.2292 1
Ag2 Ag 0.5000 0.5000 0.7708 1
Te1 Te 0.0000 0.0000 0.5000 1
# Symmetry ... No. 47

Record 5
# Ta2AgTe, relaxed, DFT PBE
data_Ta2AgTe
_symmetry_space_group_name_H-M 'P 1'
_symmetry_Int_Tables_number 1
_symmetry_space_group_name_Hall 'P 1'
_cell_length_a 3.5606
_cell_length_b 3.5606
_cell_length_c 6.2889
_cell_angle_alpha 90.00
_cell_angle_beta 90.00
_cell_angle_gamma 90.00
loop_
_atom_site_label
_atom_site_type_symbol
_atom_site_fract_x
_atom_site_fract_y
_atom_site_fract_z
_atom_site_occupancy
Ta1 Ta 0.0000 0.0000 0.0000 1
Ta2 Ta 0.5000 0.5000 0.2105 1
Ag1 Ag 0.5000 0.5000 0.7508 1
Te1 Te 0.0000 0.0000 0.4731 1
# Symmetry ... No. 99

Record 6
# Ta2AgTe, relaxed, DFT PBE
data_Ta2AgTe
_symmetry_space_group_name_H-M 'P 1'
_symmetry_Int_Tables_number 1
_symmetry_space_group_name_Hall 'P 1'
_cell_length_a 4.8448
_cell_length_b 4.8448
_cell_length_c 3.2009
_cell_angle_alpha 90.00
_cell_angle_beta 90.00
_cell_angle_gamma 90.47
loop_
_atom_site_label
_atom_site_type_symbol
_atom_site_fract_x
_atom_site_fract_y
_atom_site_fract_z
_atom_site_occupancy
Ta1 Ta 0.0000 0.5000 0.0000 1
Ta2 Ta 0.5000 0.0000 0.0000 1
Ag1 Ag 0.0000 0.0000 0.5000 1
Te1 Te 0.5000 0.5000 0.5000 1
# Symmetry ... No. 65

Record 7
# TaAgTe, relaxed, DFT PBE
data_TaAgTe
_symmetry_space_group_name_H-M 'P 1'
_symmetry_Int_Tables_number 1
_symmetry_space_group_name_Hall 'P 1'
_cell_length_a 4.9063
_cell_length_b 4.9063
_cell_length_c 2.9881
_cell_angle_alpha 90.00
_cell_angle_beta 90.00
_cell_angle_gamma 120.00
loop_
_atom_site_label
_atom_site_type_symbol
_atom_site_fract_x
_atom_site_fract_y
_atom_site_fract_z
_atom_site_occupancy
Ta1 Ta 0.0000 0.0000 0.0000 1
Ag1 Ag 0.6667 0.3333 0.4998 1
Te1 Te 0.3333 0.6667 0.0015 1
# Excess energy over the best structure of this formula in the dataset ... 0.756 eV/f.u.
# Symmetry ... No. 156

Record 8
# TaAg2Te, relaxed, DFT PBE
data_TaAg2Te
_symmetry_space_group_name_H-M 'P 1'
_symmetry_Int_Tables_number 1
_symmetry_space_group_name_Hall 'P 1'
_cell_length_a 9.6434
_cell_length_b 9.6434
_cell_length_c 9.6434
_cell_angle_alpha 19.25
_cell_angle_beta 19.25
_cell_angle_gamma 19.25
loop_
_atom_site_label
_atom_site_type_symbol
_atom_site_fract_x
_atom_site_fract_y
_atom_site_fract_z
_atom_site_occupancy
Ta1 Ta 0.0000 0.0000 0.0000 1
Ag1 Ag 0.4905 0.4905 0.4905 1
Ag2 Ag 0.7459 0.7459 0.7459 1
Te1 Te 0.2595 0.2595 0.2595 1
# Symmetry ... No. 160

no.,ΔE_f (raw) (eV per atom)
1,0.36
2,0.44
3,-0.15
4,0.47
5,0.24
6,0.43
7,0.52
8,0.27